Record 1
This record from the Alexandria database describes crystalline Cu3GePd at its relaxed geometry. The functional is GGA-PBE.

a = 4.426 Å, b = 4.426 Å, c = 4.426 Å
α = 90.00°, β = 90.00°, γ = 90.00°
Positions (direct):
Cu 0.000 0.000 0.500
Cu 0.000 0.500 0.000
Cu 0.500 0.000 0.000
Ge 0.000 0.000 0.000
Pd 0.500 0.500 0.500

Values from the calculation:
total magnetic moment: 0.00 μB/f.u.
E above lowest polymorph: 608 meV per atom
crystal system: cubic
formation enthalpy at 0 K: 0.5916 eV/atom


Record 2
This record from the Alexandria database describes crystalline Zn2BrCl at its relaxed geometry. The functional is GGA-PBE.

a = 4.996 Å, b = 4.996 Å, c = 4.996 Å
α = 60.00°, β = 60.00°, γ = 60.00°
Positions (direct):
Zn 0.000 0.000 0.000
Zn 0.250 0.250 0.250
Br 0.500 0.500 0.500
Cl 0.750 0.750 0.750

Values from the calculation:
total magnetic moment: 0.00 μB/f.u.
E above lowest polymorph: 792 meV per atom
crystal system: cubic
formation energy (no corrections): 177 meV per atom


Record 3
This record from the Alexandria database describes crystalline ReHgPCl2 at its relaxed geometry. The functional is GGA-PBE.

a = 4.947 Å, b = 4.947 Å, c = 4.649 Å
α = 90.00°, β = 90.00°, γ = 90.00°
Positions (direct):
Re 0.000 0.000 0.000
Hg 0.500 0.500 0.500
P 0.000 0.000 0.500
Cl 0.000 0.500 0.000
Cl 0.500 0.000 0.000

Values from the calculation:
total magnetic moment: 1.22 μB/f.u.
E above lowest polymorph: 0 meV per atom
crystal system: tetragonal
formation energy (no corrections): 242 meV per atom